[1]
! Ho6Tm8Sc | Alexandria via LeMat-Bulk | GGA-PBE | relaxed; values from VASP
&SYSTEM
  ibrav = 0, nat = 15, ntyp = 3
/
ATOMIC_SPECIES
Ho 164.93 Ho.upf
Tm 168.93 Tm.upf
Sc 44.96 Sc.upf
CELL_PARAMETERS angstrom
8.896 0.000 0.000
4.448 7.704 0.000
4.448 2.568 6.743
ATOMIC_POSITIONS angstrom
Ho 12.933 5.757 5.909
Ho 5.929 1.239 0.834
Ho 2.556 1.950 0.834
Ho 11.863 9.033 5.909
Ho 4.858 4.515 0.834
Ho 15.235 8.322 5.909
Tm 11.628 3.460 3.870
Tm 6.163 6.812 2.873
Tm 11.713 6.665 2.873
Tm 6.079 3.607 3.870
Tm 8.896 5.136 4.914
Tm 8.896 5.136 1.829
Tm 8.811 1.932 2.873
Tm 8.981 8.340 3.870
Sc 0.000 0.000 0.000
! Formation energy   0.121 eV/atom
! Energy above the most stable polymorph in this dataset   0.0000 eV/atom
! Symmetry   R-3 (148)

[2]
! Ho3Tm8Sc | Alexandria via LeMat-Bulk | GGA-PBE | relaxed; values from VASP
&SYSTEM
  ibrav = 0, nat = 12, ntyp = 3
/
ATOMIC_SPECIES
Tm 168.93 Tm.upf
Ho 164.93 Ho.upf
Sc 44.96 Sc.upf
CELL_PARAMETERS angstrom
6.554 0.000 -3.707
-2.097 6.209 -3.707
0.834 1.162 9.121
ATOMIC_POSITIONS angstrom
Tm 4.510 1.643 4.086
Tm 0.113 4.799 4.086
Tm 0.780 5.729 -2.380
Tm 1.179 1.643 5.971
Tm 4.112 5.729 -4.264
Tm 1.847 2.573 -0.495
Tm 3.444 4.799 2.202
Tm 5.178 2.573 -2.380
Ho 2.228 3.105 -3.707
Ho 0.483 5.238 0.853
Ho 4.808 2.133 0.853
Sc 0.000 0.000 0.000
! Formation energy   0.721 eV/atom
! Symmetry   I4/mmm (139)

[3]
! Ho4Tm11Sc9 | Alexandria via LeMat-Bulk | GGA-PBE | relaxed; values from VASP
&SYSTEM
  ibrav = 0, nat = 24, ntyp = 3
/
ATOMIC_SPECIES
Sc 44.96 Sc.upf
Tm 168.93 Tm.upf
Ho 164.93 Ho.upf
CELL_PARAMETERS angstrom
3.393 0.000 0.000
0.000 13.781 -3.048
0.000 2.613 13.870
ATOMIC_POSITIONS angstrom
Sc 1.696 13.479 11.009
Sc 1.696 0.973 2.754
Sc 1.696 2.915 -0.187
Sc 1.696 3.421 8.232
Sc 1.696 15.420 8.068
Sc 1.696 7.479 10.911
Sc 1.696 12.972 2.590
Sc 1.696 8.914 -0.089
Sc 1.696 8.197 5.411
Tm 0.000 3.841 2.536
Tm 0.000 14.280 5.335
Tm 0.000 4.525 10.973
Tm 0.000 10.517 11.034
Tm 0.000 12.552 8.286
Tm 0.000 6.445 8.064
Tm 0.000 9.948 2.758
Tm 0.000 5.876 -0.213
Tm 0.000 11.868 -0.151
Tm 0.000 2.114 5.487
Tm 0.000 0.000 0.000
Ho 1.696 11.377 5.471
Ho 1.696 9.502 8.311
Ho 1.696 5.016 5.351
Ho 1.696 6.891 2.510
! Formation energy   0.082 eV/atom
! Symmetry   Cmmm (65)